Compound: AsAu2Se
Source: Alexandria via LeMat-Bulk
Functional: PBE
Structure: relaxed

a = 3.4161 Å, b = 3.8931 Å, c = 12.4544 Å
α = 90.00°, β = 90.00°, γ = 90.00°
Last column: nearest neighbours and their distance in Å.
Space group Imm2 (No. 44)
Asymmetric unit:
As 0.0000 0.0000 0.0000 [2 per cell]  2 Se 2.74, 4 Au 2.74
Au 0.0000 0.0000 0.5728 [2 per cell]  4 As 2.74, 2 Au 2.82
Au 0.0000 0.5000 0.7370 [2 per cell]  2 Au 2.82, 4 Se 2.83
Se 0.0000 0.5000 0.3279 [2 per cell]  2 As 2.74, 4 Au 2.83

Calculated values
- Magnetic moment: 0.000 μB/atom
- Uncorrected formation energy: 216.0 meV per atom